An optimized crystal structure of K2Sm2PdO6, computed with PBE-GGA.

Computed properties:
Uncorrected formation energy   -22.18 eV/f.u.
Space-group type   C2/m (12)

Geometry as POSCAR:
```
K2Sm2PdO6
1.0
5.902 0.001 0.130
-2.916 5.131 0.130
-0.985 -1.693 6.312
K Sm Pd O
2 2 1 6
direct
0.844 0.156 0.000
0.156 0.844 0.000
0.336 0.664 0.500
0.664 0.336 0.500
0.000 0.000 0.500
0.755 0.755 0.678
0.045 0.353 0.674
0.245 0.245 0.322
0.353 0.045 0.674
0.955 0.647 0.326
0.647 0.955 0.326
```

***

An optimized crystal structure of PrErSi2Pt2, computed with PBE-GGA.

Computed properties:
Uncorrected formation energy   -6.67 eV/f.u.
Space-group type   P-3m1 (164)

Geometry as POSCAR:
```
PrErSi2Pt2
1.0
-3.063 0.560 2.990
3.018 -3.039 0.544
4.354 4.956 3.532
Pr Er Si Pt
1 1 2 2
direct
0.000 0.000 0.000
0.000 0.000 0.500
0.333 0.667 0.273
0.667 0.333 0.727
0.333 0.667 0.716
0.667 0.333 0.284
```

***

no.,total energy (eV per atom)
1,-6.251
2,-6.489